No. 1
A relaxed structure of BeAl4Cu, computed with PBE-GGA.

a b c (Å): 5.154 5.154 5.154
angles (deg): 60.00 60.00 60.00
Atoms (fractional coordinates):
Al1 0.625 0.625 0.625
Al2 0.126 0.625 0.625
Al3 0.625 0.625 0.126
Al4 0.625 0.126 0.625
Be1 0.250 0.250 0.250
Cu1 0.000 0.000 0.000

Output
**Symmetry**: F-43m (216)
**Energy of formation**: 279 kJ/mol of formula units
**Total moment**: 0.00 μB per cell

No. 2
A relaxed structure of HfCu3O, computed with PBE-GGA.

a b c (Å): 4.101 4.101 4.101
angles (deg): 90.00 90.00 90.00
Atoms (fractional coordinates):
Hf1 0.500 0.500 0.500
Cu1 0.000 0.500 0.000
Cu2 0.500 0.000 0.000
Cu3 0.000 0.000 0.500
O1 0.000 0.000 0.000

Output
**Symmetry**: Pm-3m (221)
**ΔE_f (raw)**: 181.4 meV per atom
**Total moment**: 0.00 μB per cell

No. 3
A relaxed structure of La2PuAs, computed with PBE-GGA.

a b c (Å): 3.944 3.944 10.636
angles (deg): 79.32 79.32 60.00
Last column: magnetic moment on the atom in μB.
Atoms (fractional coordinates):
La1 0.107 0.107 0.678  0.05
La2 0.893 0.893 0.322  0.05
Pu1 0.000 0.000 0.000  5.72
As1 0.500 0.500 0.500  0.00

Output
**Symmetry**: R-3m (166)
**Energy of formation**: -111 kJ/mol of formula units
**Total moment**: 6.34 μB per cell

No. 4
A relaxed structure of CsInSb3, computed with PBE-GGA.

a b c (Å): 6.871 6.866 7.945
angles (deg): 90.00 90.00 72.73
Atoms (fractional coordinates):
Sb1 0.016 0.747 0.802
Sb2 0.545 0.219 0.803
Sb3 0.374 0.577 0.052
Sb4 0.186 0.388 0.552
Sb5 0.545 0.219 0.302
Sb6 0.016 0.747 0.303
Cs1 0.033 0.235 0.052
Cs2 0.528 0.731 0.552
In1 0.900 0.104 0.552
In2 0.660 0.862 0.052

Output
**Symmetry**: P2_1/m (11)
**ΔE_f (raw)**: -160.2 meV per atom
**Total moment**: 0.00 μB per cell